A geometry-optimized LiFePO4 structure, computed with GGA+U.

Energy above the lowest structure with this stoichiometry (eV per atom): 0.072
Density of states at the Fermi level (states/eV per cell): 0.00
Volume (Å³/atom): 11.84
SG: C2/m (12)

```
LiFePO4
1.0
4.992 -0.058 0.203
0.970 4.895 -0.203
2.087 -2.570 13.744
O Fe Li P
16 4 4 4
Direct
0.464 0.689 0.366
0.979 0.521 0.300
0.021 0.480 0.700
0.286 0.214 0.985
0.189 0.964 0.634
0.810 0.036 0.366
0.214 0.286 0.515
0.036 0.810 0.134
0.536 0.311 0.634
0.480 0.021 0.800
0.690 0.464 0.134
0.965 0.189 0.866
0.311 0.536 0.866
0.521 0.979 0.200
0.714 0.785 0.015
0.786 0.715 0.485
0.250 0.750 0.750
0.750 0.250 0.250
0.750 0.250 0.750
0.250 0.750 0.250
0.685 0.185 0.000
0.315 0.815 0.000
0.185 0.685 0.500
0.815 0.315 0.500
0.250 0.250 0.616
0.250 0.250 0.884
0.749 0.751 0.384
0.750 0.749 0.116
```